# CaEr2VO6

CaEr2VO6 after structural relaxation (GGA+U, Alexandria).

Lattice parameters (Å, degrees): 5.599 5.549 5.909 61.27 61.21 60.32
Element x y z (fractional)
O1 0.959 0.583 0.244
O2 0.136 0.407 0.769
V1 0.321 0.315 0.043
O3 0.224 0.972 0.235
Er1 0.530 0.523 0.417
O4 0.583 0.219 0.241
Er2 0.015 0.023 0.935
O5 0.689 0.139 0.765
O6 0.402 0.680 0.777
Ca1 0.803 0.800 0.589

* raw total energy: -7.826 eV per atom
* space-group type: P1